First-principles (GGA-PBE) data for a relaxed structure of Fe2Ni2Pt7, as listed in the Alexandria database.

Values from the calculation:
ΔE_f ... -80 kJ/mol of formula units
Calculated total energy ... -6.5093 eV/atom

Cell: 6.930 6.930 6.930 Å, 145.48 71.71 119.34°
Sites, in units of the cell vectors:
Fe: 0.196 0.000 0.196
Fe: 0.804 0.000 0.804
Ni: 0.501 0.001 0.500
Ni: 0.810 0.810 0.000
Pt: 0.066 0.721 0.345
Pt: 0.184 0.184 0.000
Pt: 0.364 0.507 0.857
Pt: 0.376 0.721 0.655
Pt: 0.639 0.286 0.353
Pt: 0.650 0.507 0.143
Pt: 0.933 0.286 0.647